Material: ZnS
Method: DFT, PBE
State: relaxed

extended XYZ file:
```
24
Lattice="3.813 0.000 0.000 -1.907 3.303 0.000 0.001 0.000 38.582" Properties=species:S:1:pos:R:3 pbc="T T T"
S 1.907 1.101 8.840
S 0.000 0.000 27.691
S 1.907 1.101 24.564
S 0.000 0.000 2.571
S 0.000 2.202 18.278
S 1.904 3.301 35.719
S 1.907 1.101 15.129
S 0.000 0.000 21.420
S 0.000 2.202 30.814
S 0.000 0.000 11.990
S 1.908 1.101 38.010
S 0.000 2.202 5.700
Zn 0.000 0.000 9.635
Zn 0.000 0.000 19.068
Zn 0.000 2.202 28.470
Zn 1.907 1.101 22.211
Zn 0.000 0.000 0.199
Zn 0.000 2.202 3.340
Zn 0.004 0.002 33.548
Zn 0.000 0.000 25.347
Zn 0.000 2.202 15.921
Zn 1.907 1.101 12.775
Zn 1.907 1.101 31.761
Zn 1.907 1.101 6.486
```

Properties
total DFT energy (no corrections): -0.24209 Ry per atom
space group: P3m1